1.
A plane-wave DFT calculation with GGA-PBE was carried out for a relaxed KIr2Rh crystal.

Properties
Formation energy from the elements (eV per atom): 1.116
Energy above the lowest structure with this stoichiometry (kJ/mol of atoms): 63.9
Total moment (μB/atom): 0.000
Space-group type: No. 139

Structure (extended XYZ):
```
4
Lattice="5.056 -0.016 0.000 1.869 4.698 0.000 -3.463 -2.341 2.845" Properties=species:S:1:pos:R:3 pbc="T T T"
Rh 2.528 -0.008 1.423
Ir 0.000 0.000 0.000
Ir 3.463 2.341 0.000
K 0.935 2.349 1.423
```

***

2.
A plane-wave DFT calculation with GGA-PBE was carried out for a relaxed OsAuSe2 crystal.

Properties
E_form (uncorrected) (eV per formula unit): 1.39
Energy above the lowest structure with this stoichiometry (kJ/mol of atoms): 24.6
Total moment (μB/atom): 0.000
Space-group type: No. 99

Structure (extended XYZ):
```
4
Lattice="2.964 0.000 0.000 0.000 2.964 0.000 0.000 0.000 9.078" Properties=species:S:1:pos:R:3 pbc="T T T"
Se 1.482 1.482 2.613
Se 0.000 0.000 8.300
Os 1.482 1.482 6.931
Au 0.000 0.000 4.850
```

***

3.
A plane-wave DFT calculation with GGA-PBE was carried out for a relaxed Pm12Dy5Th2 crystal.

Properties
Formation energy from the elements (eV per atom): 0.125
Energy above the lowest structure with this stoichiometry (kJ/mol of atoms): 0.0
Total moment (μB/atom): 0.000
Space-group type: No. 12

Structure (extended XYZ):
```
19
Lattice="-8.999 -7.303 -1.644 8.940 -0.278 -6.027 1.786 -3.308 4.920" Properties=species:S:1:pos:R:3 pbc="T T T"
Pm 6.292 -3.264 0.198
Pm 1.943 -6.793 -0.596
Pm 1.962 -6.249 -3.928
Pm -3.514 -4.988 -0.280
Pm -0.235 -4.641 1.176
Pm 6.485 -2.577 -3.102
Pm -4.565 -7.626 -2.950
Pm 0.657 -9.942 -1.103
Pm -4.759 -8.312 0.350
Pm -0.216 -4.096 -2.156
Pm 1.070 -0.947 -1.649
Pm 5.241 -5.902 -2.472
Dy 3.119 -3.013 -3.687
Dy -1.167 -7.372 -2.541
Dy 0.893 -1.654 2.460
Dy 2.893 -3.518 -0.211
Dy -1.392 -7.877 0.935
Th -6.960 -5.648 -1.272
Th -2.040 -1.655 -0.373
```

***

4.
A plane-wave DFT calculation with GGA-PBE was carried out for a relaxed DyTh2SiN5 crystal.

Properties
E_form (uncorrected) (eV per formula unit): -10.47
Total moment (μB/atom): 0.000
Space-group type: No. 127

Structure (extended XYZ):
```
18
Lattice="5.769 0.000 0.000 0.000 6.661 0.000 0.000 0.000 6.661" Properties=species:S:1:pos:R:3 pbc="T T T"
N 1.258 0.921 4.252
N 4.512 5.740 2.410
N 4.512 4.252 5.740
N 1.258 2.410 0.921
N 4.512 0.921 4.252
N 4.512 2.410 0.921
N 1.258 5.740 2.410
N 2.885 3.331 3.331
N 1.258 4.252 5.740
N 2.885 0.000 0.000
Th 2.885 4.515 1.184
Th 2.885 5.477 4.515
Th 2.885 2.147 5.477
Th 2.885 1.184 2.147
Si 0.000 3.331 0.000
Si 0.000 0.000 3.331
Dy 0.000 0.000 0.000
Dy 0.000 3.331 3.331
```

***

5.
A plane-wave DFT calculation with GGA-PBE was carried out for a relaxed Ce3Zn3Au2 crystal.

Properties
Formation energy from the elements (eV per atom): -0.454
Total moment (μB/atom): 0.146
Space-group type: No. 63

Structure (extended XYZ):
```
16
Lattice="4.729 0.000 0.000 -2.364 5.098 0.000 0.000 0.000 14.514" Properties=species:S:1:pos:R:3 pbc="T T T"
Au 2.364 2.980 13.018
Au 0.000 2.119 5.761
Au 0.000 2.119 1.496
Au 2.364 2.980 8.753
Ce 2.364 2.094 3.628
Ce 0.000 3.004 10.885
Ce 0.000 0.945 12.906
Ce 0.000 0.945 8.865
Ce 2.364 4.154 1.608
Ce 2.364 4.154 5.649
Zn 0.000 4.016 13.861
Zn 2.364 1.082 6.605
Zn 0.000 4.045 3.628
Zn 0.000 4.016 7.909
Zn 2.364 1.053 10.885
Zn 2.364 1.082 0.652
```

***

6.
A plane-wave DFT calculation with GGA-PBE was carried out for a relaxed RbLi2PbF5 crystal.

Properties
E_form (uncorrected) (eV per formula unit): -24.28
Total moment (μB/atom): 0.000
Space-group type: No. 123

Structure (extended XYZ):
```
9
Lattice="-1.839 3.204 -1.690 -2.023 -2.480 -2.502 -5.891 -0.570 5.330" Properties=species:S:1:pos:R:3 pbc="T T T"
Li -6.266 -0.058 1.827
Li -3.487 0.211 -0.688
Pb 0.000 0.000 0.000
F -2.080 1.490 0.205
F -2.172 -1.353 -0.201
F -5.742 -1.698 3.030
F -4.877 0.077 0.570
F -5.650 1.144 3.436
Rb -2.945 -0.285 2.665
```

***

7.
A plane-wave DFT calculation with GGA-PBE was carried out for a relaxed NaSr2Bi crystal.

Properties
Formation energy from the elements (eV per atom): 0.071
Total moment (μB/atom): 0.000
Space-group type: No. 166

Structure (extended XYZ):
```
4
Lattice="3.977 0.000 0.000 1.989 3.444 0.000 1.989 1.148 13.182" Properties=species:S:1:pos:R:3 pbc="T T T"
Sr 5.966 3.444 3.312
Sr 1.989 1.148 9.870
Bi 0.000 0.000 0.000
Na 3.977 2.296 6.591
```

***

8.
A plane-wave DFT calculation with GGA-PBE was carried out for a relaxed ZnCr2Ag crystal.

Properties
Formation energy from the elements (eV per atom): 0.337
Total moment (μB/atom): 0.036
Space-group type: No. 216

Structure (extended XYZ):
```
4
Lattice="-3.894 -0.214 -2.088 -3.164 -2.706 1.493 -3.625 1.674 1.903" Properties=species:S:1:pos:R:3 pbc="T T T"
Cr -2.671 -0.311 0.327
Cr 0.000 0.000 0.000
Zn -8.012 -0.934 0.982
Ag -5.341 -0.623 0.654
```

***

9.
A plane-wave DFT calculation with GGA-PBE was carried out for a relaxed MnTc2Te crystal.

Properties
E_form (uncorrected) (eV per formula unit): 1.04
Total moment (μB/atom): 0.619
Space-group type: No. 123

Structure (extended XYZ):
```
4
Lattice="3.171 0.000 0.000 0.000 3.171 0.000 0.000 0.000 6.260" Properties=species:S:1:pos:R:3 pbc="T T T"
Tc 0.000 0.000 3.226
Tc 0.000 0.000 6.164
Te 1.586 1.586 1.565
Mn 1.586 1.586 4.695
```

***

10.
A plane-wave DFT calculation with GGA-PBE was carried out for a relaxed HoH6Pt2Rh crystal.

Properties
VASP energy (eV/atom): -4.7223
Total moment (μB/atom): 0.000
Space-group type: No. 1

Structure (extended XYZ):
```
10
Lattice="-1.420 2.684 -4.102 4.569 -2.871 0.478 -2.341 -4.493 1.722" Properties=species:S:1:pos:R:3 pbc="T T T"
Ho 0.918 -4.101 0.932
H 1.859 -0.821 -2.429
H -1.497 -1.340 -0.902
H 0.170 -3.160 -1.296
H -1.307 -3.257 0.886
H 1.242 -1.045 -0.108
H -0.890 0.704 -1.835
Pt 1.787 -2.308 -1.351
Pt -1.685 -3.167 -0.868
Rh 4.161 -3.045 0.253
```